Material: CuW2
Method: DFT, GGA-PBE
State: optimized geometry

a b c (Å): 5.227 5.227 5.227
angles (deg): 60.00 60.00 60.00
Element x y z (fractional)
Cu (0.125, 0.125, 0.125)
Cu (0.875, 0.875, 0.875)
W (0.000, 0.500, 0.500)
W (0.500, 0.000, 0.500)
W (0.500, 0.500, 0.000)
W (0.500, 0.500, 0.500)

energy above the most stable polymorph in this dataset: 547 meV/atom
uncorrected energy: -0.3360 hartree per atom
symmetry: Fd-3m
energy relative to the elements: 0.86 eV per atom
calculated density: 14.186 g/cm³